Here is a geometry-optimized Re2MoW structure from the Alexandria database. Energies are from PBE.

Summary:
- SG = No. 99
- theoretical density (kg/m3) = 17133
- total energy (eV per atom) = -11.990
- total magnetic moment (Bohr magnetons per cell) = 0.00
- ΔE_f (kJ/mol of formula units) = 69

Unit cell a=2.771 b=2.771 c=8.232 alpha=90.00 beta=90.00 gamma=90.00
Fractional positions:
Re: 0.000 0.000 0.012
Re: 0.500 0.500 0.237
Mo: 0.500 0.500 0.761
W: 0.000 0.000 0.490